No. 1
Entry from Alexandria: a relaxed structure of BaAl2Ru (PBE). Values from VASP.

```
&SYSTEM
  ibrav = 0, nat = 12, ntyp = 3
/
ATOMIC_SPECIES
Ba 137.33 Ba.upf
Al 26.98 Al.upf
Ru 101.07 Ru.upf
ATOMIC_POSITIONS crystal
Ba 0.000 0.000 0.000
Ba 0.333 0.667 0.667
Ba 0.667 0.333 0.333
Al 0.000 0.000 0.192
Al 0.000 0.000 0.808
Al 0.333 0.667 0.474
Al 0.333 0.667 0.859
Al 0.667 0.333 0.141
Al 0.667 0.333 0.526
Ru 0.000 0.000 0.500
Ru 0.333 0.667 0.167
Ru 0.667 0.333 0.833
CELL_PARAMETERS angstrom
4.363 0.000 0.000
-2.181 3.778 0.000
0.000 0.000 18.059
```

Output
* magnetic moment: 0.0 μB/cell
* space-group type: R-3m
* ΔH_f (0 K): -0.3046 eV/atom

No. 2
Entry from Alexandria: a relaxed structure of BaAl2Ru (PBE). Values from VASP.

```
&SYSTEM
  ibrav = 0, nat = 4, ntyp = 3
/
ATOMIC_SPECIES
Ba 137.33 Ba.upf
Al 26.98 Al.upf
Ru 101.07 Ru.upf
ATOMIC_POSITIONS crystal
Ba 0.000 0.000 0.000
Al 0.000 0.500 0.500
Al 0.500 0.000 0.500
Ru 0.500 0.500 0.000
CELL_PARAMETERS angstrom
5.115 0.000 0.000
0.000 5.115 0.000
0.000 0.000 3.223
```

Output
* magnetic moment: 0.0 μB/cell
* space-group type: P4/mmm
* ΔH_f (0 K): 0.6698 eV/atom

No. 3
Entry from Alexandria: a relaxed structure of BaAlRu4 (PBE). Values from VASP.

```
&SYSTEM
  ibrav = 0, nat = 6, ntyp = 3
/
ATOMIC_SPECIES
Ba 137.33 Ba.upf
Al 26.98 Al.upf
Ru 101.07 Ru.upf
ATOMIC_POSITIONS crystal
Ba 0.000 0.000 0.000
Al 0.250 0.250 0.250
Ru 0.131 0.623 0.623
Ru 0.623 0.131 0.623
Ru 0.623 0.623 0.131
Ru 0.623 0.623 0.623
CELL_PARAMETERS angstrom
0.000 3.807 3.807
3.807 0.000 3.807
3.807 3.807 0.000
```

Output
* magnetic moment: 1.9 μB/cell
* space-group type: F-43m
* ΔH_f (0 K): 0.5707 eV/atom

No. 4
Entry from Alexandria: a relaxed structure of BaAlRu (PBE). Values from VASP.

```
&SYSTEM
  ibrav = 0, nat = 12, ntyp = 3
/
ATOMIC_SPECIES
Ba 137.33 Ba.upf
Al 26.98 Al.upf
Ru 101.07 Ru.upf
ATOMIC_POSITIONS crystal
Ba 0.000 0.000 0.000
Ba 0.000 0.500 0.500
Ba 0.500 0.000 0.500
Ba 0.500 0.500 0.000
Al 0.000 0.000 0.500
Al 0.000 0.500 0.000
Al 0.500 0.000 0.000
Al 0.500 0.500 0.500
Ru 0.250 0.250 0.250
Ru 0.250 0.750 0.750
Ru 0.750 0.250 0.750
Ru 0.750 0.750 0.250
CELL_PARAMETERS angstrom
6.775 0.000 0.000
0.000 6.775 0.000
0.000 0.000 6.775
```

Output
* magnetic moment: 0.0 μB/cell
* space-group type: F-43m
* ΔH_f (0 K): 0.4400 eV/atom

No. 5
Entry from Alexandria: a relaxed structure of Ba2AlRu (PBE). Values from VASP.

```
&SYSTEM
  ibrav = 0, nat = 8, ntyp = 3
/
ATOMIC_SPECIES
Ba 137.33 Ba.upf
Al 26.98 Al.upf
Ru 101.07 Ru.upf
ATOMIC_POSITIONS crystal
Ba 0.000 0.000 0.000
Ba 0.000 0.500 0.229
Ba 0.500 0.000 0.729
Ba 0.500 0.500 0.500
Al 0.000 0.000 0.422
Al 0.500 0.500 0.922
Ru 0.000 0.500 0.831
Ru 0.500 0.000 0.331
CELL_PARAMETERS angstrom
4.259 0.000 0.000
0.000 5.003 0.000
0.000 0.000 12.758
```

Output
* magnetic moment: 0.0 μB/cell
* space-group type: Imm2
* ΔH_f (0 K): 0.0924 eV/atom

No. 6
Entry from Alexandria: a relaxed structure of Ba2AlRu (PBE). Values from VASP.

```
&SYSTEM
  ibrav = 0, nat = 8, ntyp = 3
/
ATOMIC_SPECIES
Ba 137.33 Ba.upf
Al 26.98 Al.upf
Ru 101.07 Ru.upf
ATOMIC_POSITIONS crystal
Ba 0.000 0.000 0.000
Ba 0.163 0.000 0.500
Ba 0.500 0.500 0.000
Ba 0.663 0.500 0.500
Al 0.248 0.500 0.250
Al 0.748 0.000 0.250
Ru 0.415 0.000 0.250
Ru 0.915 0.500 0.250
CELL_PARAMETERS angstrom
7.634 0.000 0.000
0.000 4.410 0.000
-2.498 0.000 8.951
```

Output
* magnetic moment: 0.0 μB/cell
* space-group type: Cm
* ΔH_f (0 K): -0.1145 eV/atom

No. 7
Entry from Alexandria: a relaxed structure of BaAl2Ru (PBE). Values from VASP.

```
&SYSTEM
  ibrav = 0, nat = 4, ntyp = 3
/
ATOMIC_SPECIES
Ba 137.33 Ba.upf
Al 26.98 Al.upf
Ru 101.07 Ru.upf
ATOMIC_POSITIONS crystal
Ba 0.000 0.000 0.000
Al 0.500 0.000 0.571
Al 0.500 0.500 0.313
Ru 0.000 0.500 0.576
CELL_PARAMETERS angstrom
3.202 0.000 0.000
0.000 4.071 0.000
0.000 0.000 7.232
```

Output
* magnetic moment: 0.0 μB/cell
* space-group type: Pmm2
* ΔH_f (0 K): -0.0929 eV/atom

No. 8
Entry from Alexandria: a relaxed structure of Ba2AlRu (PBE). Values from VASP.

```
&SYSTEM
  ibrav = 0, nat = 16, ntyp = 3
/
ATOMIC_SPECIES
Ba 137.33 Ba.upf
Al 26.98 Al.upf
Ru 101.07 Ru.upf
ATOMIC_POSITIONS crystal
Ba 0.000 0.000 0.000
Ba 0.000 0.500 0.500
Ba 0.250 0.250 0.250
Ba 0.250 0.750 0.750
Ba 0.500 0.000 0.500
Ba 0.500 0.500 0.000
Ba 0.750 0.250 0.750
Ba 0.750 0.750 0.250
Al 0.250 0.250 0.750
Al 0.250 0.750 0.250
Al 0.750 0.250 0.250
Al 0.750 0.750 0.750
Ru 0.000 0.000 0.500
Ru 0.000 0.500 0.000
Ru 0.500 0.000 0.000
Ru 0.500 0.500 0.500
CELL_PARAMETERS angstrom
7.565 0.000 0.000
0.000 7.565 0.000
0.000 0.000 7.565
```

Output
* magnetic moment: 0.0 μB/cell
* space-group type: F-43m
* ΔH_f (0 K): 0.4967 eV/atom